TlHg2Sb: relaxed, GGA-PBEsol.

The space group is P4mm (No. 99) and the conventional cell measures 3.420, 3.420 and 8.739 Å, with angles of 90.00, 90.00 and 90.00 degrees. The distinct sites, in fractional coordinates, are Tl at (0.000, 0.000, 0.000), Hg at (0.000, 0.000, 0.481), Hg at (0.500, 0.500, 0.259) and Sb at (0.500, 0.500, 0.725).

The calculated total energy comes out at -2.0221 eV/atom. The calculation puts the spin magnetization at 0.000 Bohr magnetons per cell. Its uncorrected formation energy is 0.2 eV/f.u.